Here is crystalline Pr2TlTe at its relaxed geometry from Alexandria. Energies are from PBE.

The uncorrected formation energy is -18.51 kcal/mol of atoms. The energy above the most stable polymorph in this dataset is 0.135 eV per atom. The value obtained for the uncorrected energy is -18.28 eV for the cell shown. For the density of states at the Fermi level, the calculation gives 0.832 states/eV/atom.

The space group is P4/mmm (No. 123) and the conventional cell measures 3.803, 3.803 and 8.399 Å, with angles of 90.00, 90.00 and 90.00 degrees. The asymmetric unit holds Pr at (0.000, 0.000, 0.239), Tl at (0.500, 0.500, 0.500) and Te at (0.500, 0.500, 0.000).


Here is crystalline Pr5TlTe4 at its relaxed geometry from Alexandria. Energies are from PBE.

The uncorrected formation energy is -28.36 kcal/mol of atoms. The energy above the most stable polymorph in this dataset is 0.032 eV per atom. The value obtained for the uncorrected energy is -102.26 eV for the cell shown. For the density of states at the Fermi level, the calculation gives 0.646 states/eV/atom.

The space group is I4/mmm (No. 139) and the conventional cell measures 4.542, 4.542 and 32.136 Å, with angles of 90.00, 90.00 and 90.00 degrees. The asymmetric unit holds Pr at (0.000, 0.000, 0.000), Pr at (0.000, 0.000, 0.200), Pr at (0.000, 0.000, 0.401), Tl at (0.000, 0.000, 0.500), Te at (0.000, 0.000, 0.101) and Te at (0.000, 0.000, 0.301).


Here is crystalline Pr3Tl2Te at its relaxed geometry from Alexandria. Energies are from PBE.

The uncorrected formation energy is -15.34 kcal/mol of atoms. The value obtained for the uncorrected energy is -52.41 eV for the cell shown. For the density of states at the Fermi level, the calculation gives 0.831 states/eV/atom.

The space group is Immm (No. 71) and the conventional cell measures 4.160, 6.443 and 14.993 Å, with angles of 90.00, 90.00 and 90.00 degrees. The asymmetric unit holds Pr at (0.000, 0.000, 0.000), Pr at (0.000, 0.000, 0.340), Tl at (0.000, 0.500, 0.329) and Te at (0.000, 0.500, 0.000).